## Tb3DySc2Se6 (PBE)

Data for crystalline Tb3DySc2Se6 at its relaxed geometry.

The structure in extended XYZ format:
```
12
Lattice="3.467 -6.033 0.000 3.467 6.033 0.000 -2.321 0.000 6.593" Properties=species:S:1:pos:R:3 pbc="T T T"
Tb 0.000 0.000 0.000
Tb 3.467 1.944 0.000
Tb 3.467 -1.944 0.000
Dy 2.307 0.000 3.297
Sc 2.307 4.033 3.297
Sc 2.307 -4.033 3.297
Se 1.122 2.071 1.717
Se -0.074 0.000 4.844
Se 1.122 -2.071 1.717
Se 3.493 2.071 4.876
Se 4.688 0.000 1.749
Se 3.493 -2.071 4.876
```

SG: C2/m
Energy, eV for the cell shown: -72.5
Formation energy (no corrections), eV/atom: -1.70


## Ac2PaZnRh6 (PBE)

Data for crystalline Ac2PaZnRh6 at its relaxed geometry.

The structure in extended XYZ format:
```
10
Lattice="5.666 0.000 0.000 2.827 5.910 0.000 2.826 -0.423 6.452" Properties=species:S:1:pos:R:3 pbc="T T T"
Ac 1.413 1.277 1.196
Ac 9.905 4.209 5.256
Pa 4.246 -0.211 3.226
Zn 4.247 2.955 0.000
Rh 2.841 4.344 1.601
Rh 4.241 2.335 2.758
Rh 5.643 4.346 1.607
Rh 5.676 1.141 4.845
Rh 7.078 3.152 3.694
Rh 8.478 1.142 4.852
```

SG: P-1
Energy, eV for the cell shown: -68.6
Formation enthalpy at 0 K, eV per atom: -0.55


## Pm11Sm4Dy9 (PBE)

Data for crystalline Pm11Sm4Dy9 at its relaxed geometry.

The structure in extended XYZ format:
```
24
Lattice="8.479 -12.788 0.000 8.479 12.788 0.000 0.000 0.000 3.702" Properties=species:S:1:pos:R:3 pbc="T T T"
Pm 0.000 0.000 0.000
Pm 3.827 4.631 0.000
Pm 8.479 8.709 0.000
Pm 4.925 0.000 0.000
Pm 8.479 3.409 0.000
Pm 3.827 -4.631 0.000
Pm 13.130 4.631 0.000
Pm 8.479 -3.409 0.000
Pm 12.032 0.000 0.000
Pm 8.479 -8.709 0.000
Pm 13.130 -4.631 0.000
Sm 5.842 2.581 1.851
Sm 5.842 -2.581 1.851
Sm 11.116 2.581 1.851
Sm 11.116 -2.581 1.851
Dy 2.359 1.869 1.851
Dy 6.758 6.009 1.851
Dy 2.359 -1.869 1.851
Dy 10.199 6.009 1.851
Dy 8.479 0.000 1.851
Dy 6.758 -6.009 1.851
Dy 14.598 1.869 1.851
Dy 10.199 -6.009 1.851
Dy 14.598 -1.869 1.851
```

SG: Cmmm
Energy, eV for the cell shown: -111.1
Formation enthalpy at 0 K, eV per atom: 0.06


## Sr3Pd6Pb2 (PBE)

Data for crystalline Sr3Pd6Pb2 at its relaxed geometry.

The structure in extended XYZ format:
```
22
Lattice="-5.057 5.057 5.057 5.057 -5.057 5.057 5.057 5.057 -5.057" Properties=species:S:1:pos:R:3 pbc="T T T"
Sr 3.038 0.000 0.000
Sr 7.076 0.000 0.000
Sr 0.000 3.038 0.000
Sr 0.000 0.000 3.038
Sr 0.000 7.076 0.000
Sr 0.000 0.000 7.076
Pd 5.057 1.649 -1.649
Pd 5.057 -1.649 1.649
Pd 5.057 1.649 1.649
Pd 1.649 5.057 -1.649
Pd 3.408 3.408 0.000
Pd 1.649 -1.649 5.057
Pd 3.408 0.000 3.408
Pd -1.649 5.057 1.649
Pd 1.649 5.057 1.649
Pd -1.649 1.649 5.057
Pd 1.649 1.649 5.057
Pd 0.000 3.408 3.408
Pb 2.529 2.529 -2.529
Pb 2.529 -2.529 2.529
Pb -2.529 2.529 2.529
Pb 2.529 2.529 2.529
```

SG: Im-3m
Energy, eV for the cell shown: -98.8
Formation enthalpy at 0 K, eV per atom: -0.53